## RbMn3Ni (PBE-GGA)

Data for a relaxed structure of RbMn3Ni.

Volume   109.8 Å³ per cell
Energy above the lowest structure with this stoichiometry   8.73 eV/f.u.
Spin magnetization   2.364 μB/atom
Formation energy from the elements   2611 meV/atom

CIF file:
```
data_RbMn3Ni
_cell_length_a 4.789
_cell_length_b 4.789
_cell_length_c 4.789
_cell_angle_alpha 90.00
_cell_angle_beta 90.00
_cell_angle_gamma 90.00
_space_group_name_H-M_alt 'P m -3 m'
_space_group_IT_number 221
_space_group_name_Hall '-P 4 2 3'
loop_
_atom_site_label
_atom_site_type_symbol
_atom_site_fract_x
_atom_site_fract_y
_atom_site_fract_z
Rb1 Rb 0.000 0.000 0.000
Mn1 Mn 0.000 0.000 0.500
Ni1 Ni 0.500 0.500 0.500
```